(1)
This record from Alexandria describes a relaxed structure of Nd3Sc5Te12. The functional is PBE.

Calculated values
Crystal system = cubic
Density = 5.2 Mg/m³
Uncorrected formation energy = -1154.7 meV/atom
Space group = Ia-3d (230)
Raw total energy = -5.34 eV per atom

a = 15.388 Å, b = 15.388 Å, c = 15.388 Å
α = 109.47°, β = 109.47°, γ = 109.47°
Element x y z (fractional)
Nd 0.125 0.250 0.375
Nd 0.125 0.375 0.750
Nd 0.250 0.375 0.125
Nd 0.250 0.875 0.625
Nd 0.375 0.125 0.250
Nd 0.375 0.750 0.125
Nd 0.625 0.250 0.875
Nd 0.625 0.875 0.750
Nd 0.750 0.125 0.375
Nd 0.750 0.625 0.875
Nd 0.875 0.625 0.250
Nd 0.875 0.750 0.625
Sc 0.000 0.000 0.000
Sc 0.000 0.000 0.500
Sc 0.000 0.500 0.000
Sc 0.000 0.500 0.500
Sc 0.125 0.750 0.875
Sc 0.125 0.875 0.250
Sc 0.250 0.125 0.875
Sc 0.250 0.625 0.375
Sc 0.375 0.250 0.625
Sc 0.375 0.625 0.750
Sc 0.500 0.000 0.000
Sc 0.500 0.000 0.500
Sc 0.500 0.500 0.000
Sc 0.500 0.500 0.500
Sc 0.625 0.375 0.250
Sc 0.625 0.750 0.375
Sc 0.750 0.375 0.625
Sc 0.750 0.875 0.125
Sc 0.875 0.125 0.750
Sc 0.875 0.250 0.125
Te 0.039 0.215 0.124
Te 0.039 0.324 0.915
Te 0.085 0.624 0.409
Te 0.085 0.961 0.676
Te 0.091 0.715 0.676
Te 0.091 0.876 0.415
Te 0.124 0.039 0.215
Te 0.124 0.585 0.909
Te 0.176 0.215 0.591
Te 0.176 0.461 0.585
Te 0.215 0.124 0.039
Te 0.215 0.591 0.176
Te 0.285 0.324 0.909
Te 0.285 0.461 0.376
Te 0.324 0.909 0.285
Te 0.324 0.915 0.039
Te 0.376 0.285 0.461
Te 0.376 0.591 0.915
Te 0.409 0.085 0.624
Te 0.409 0.824 0.785
Te 0.415 0.091 0.876
Te 0.415 0.824 0.539
Te 0.461 0.376 0.285
Te 0.461 0.585 0.176
Te 0.539 0.415 0.824
Te 0.539 0.624 0.715
Te 0.585 0.176 0.461
Te 0.585 0.909 0.124
Te 0.591 0.176 0.215
Te 0.591 0.915 0.376
Te 0.624 0.409 0.085
Te 0.624 0.715 0.539
Te 0.676 0.085 0.961
Te 0.676 0.091 0.715
Te 0.715 0.539 0.624
Te 0.715 0.676 0.091
Te 0.785 0.409 0.824
Te 0.785 0.876 0.961
Te 0.824 0.539 0.415
Te 0.824 0.785 0.409
Te 0.876 0.415 0.091
Te 0.876 0.961 0.785
Te 0.909 0.124 0.585
Te 0.909 0.285 0.324
Te 0.915 0.039 0.324
Te 0.915 0.376 0.591
Te 0.961 0.676 0.085
Te 0.961 0.785 0.876

(2)
This record from Alexandria describes a relaxed structure of Nd2ScTe. The functional is PBE.

Calculated values
Crystal system = trigonal
Energy relative to the lowest polymorph listed for this composition = 0.1003 eV per atom
Density = 5.9 Mg/m³
Uncorrected formation energy = -463.9 meV/atom
Space group = R3m (160)
Raw total energy = -5.22 eV per atom

a = 9.882 Å, b = 9.882 Å, c = 9.882 Å
α = 23.12°, β = 23.12°, γ = 23.12°
Element x y z (fractional)
Nd 0.000 0.000 0.000
Nd 0.181 0.181 0.181
Sc 0.424 0.424 0.424
Te 0.591 0.591 0.591

(3)
This record from Alexandria describes a relaxed structure of Nd3ThSc2Te6. The functional is PBE.

Calculated values
Crystal system = monoclinic
Density = 7.0 Mg/m³
Uncorrected formation energy = -1231.6 meV/atom
Space group = C2/m (12)
Raw total energy = -5.67 eV per atom

a = 9.756 Å, b = 9.756 Å, c = 8.888 Å
α = 101.47°, β = 101.47°, γ = 25.65°
Element x y z (fractional)
Nd 0.000 0.000 0.000
Nd 0.345 0.345 0.664
Nd 0.655 0.655 0.336
Th 0.000 0.000 0.500
Sc 0.334 0.334 0.165
Sc 0.666 0.666 0.835
Te 0.173 0.173 0.074
Te 0.173 0.173 0.608
Te 0.488 0.488 0.242
Te 0.512 0.512 0.758
Te 0.827 0.827 0.392
Te 0.827 0.827 0.926

(4)
This record from Alexandria describes a relaxed structure of Nd3ScTl3Te8. The functional is PBE.

Calculated values
Crystal system = trigonal
Density = 6.2 Mg/m³
Uncorrected formation energy = -1026.4 meV/atom
Space group = R-3m (166)
Raw total energy = -4.55 eV per atom

a = 9.664 Å, b = 9.664 Å, c = 9.664 Å
α = 55.06°, β = 55.06°, γ = 55.06°
Element x y z (fractional)
Nd 0.000 0.500 0.500
Nd 0.500 0.000 0.500
Nd 0.500 0.500 0.000
Sc 0.000 0.000 0.000
Tl 0.000 0.000 0.500
Tl 0.000 0.500 0.000
Tl 0.500 0.000 0.000
Te 0.228 0.228 0.757
Te 0.228 0.757 0.228
Te 0.243 0.772 0.772
Te 0.258 0.258 0.258
Te 0.742 0.742 0.742
Te 0.757 0.228 0.228
Te 0.772 0.243 0.772
Te 0.772 0.772 0.243